# La2CuBiC | Alexandria | PBE | optimized geometry
data_La2CuBiC
_symmetry_space_group_name_H-M 'P 4/m m m'
_symmetry_Int_Tables_number 123
_symmetry_space_group_name_Hall '-P 4 2'
_cell_length_a 5.4220
_cell_length_b 5.4220
_cell_length_c 4.0127
_cell_angle_alpha 90.00
_cell_angle_beta 90.00
_cell_angle_gamma 90.00
loop_
_atom_site_label
_atom_site_type_symbol
_atom_site_fract_x
_atom_site_fract_y
_atom_site_fract_z
La1 La 0.0000 0.5000 0.0000
Cu1 Cu 0.0000 0.0000 0.5000
Bi1 Bi 0.5000 0.5000 0.5000
C1 C 0.0000 0.0000 0.0000
# Energy ... -5.7905 eV per atom
# Formation energy from the elements ... -37 kJ/mol of atoms